(1)
! Ca3TbNd4Se8 (GGA-PBE, optimized geometry); values from VASP
! raw total energy = -5.479 eV/atom
! formation energy without anion corrections = -1.88 eV per atom
! magnetic moment = 0.0 μB per formula unit
&SYSTEM
  ibrav = 0, nat = 16, ntyp = 4
/
ATOMIC_SPECIES
Ca 40.08 Ca.upf
Tb 158.93 Tb.upf
Nd 144.24 Nd.upf
Se 78.96 Se.upf
CELL_PARAMETERS angstrom
4.173 2.410 6.943
-4.173 2.410 6.943
0.000 -4.819 6.943
ATOMIC_POSITIONS angstrom
Ca -2.087 -1.205 6.943
Ca -2.087 1.205 13.886
Ca 0.000 2.410 6.943
Tb 0.000 0.000 0.000
Nd -4.173 0.000 10.414
Nd -2.087 1.205 3.471
Nd 2.087 1.205 3.471
Nd 0.000 0.000 10.414
Se 0.000 -2.420 8.609
Se -2.096 1.210 8.609
Se 0.000 0.000 5.256
Se -2.096 -1.210 12.219
Se 2.096 1.210 8.609
Se 0.000 0.000 15.573
Se 2.096 -1.210 12.219
Se 0.000 2.420 12.219


(2)
! CaTbNd2Se4 (GGA-PBE, optimized geometry); values from VASP
! raw total energy = -5.619 eV/atom
! formation energy without anion corrections = -1.86 eV per atom
! magnetic moment = 0.0 μB per formula unit
&SYSTEM
  ibrav = 0, nat = 8, ntyp = 4
/
ATOMIC_SPECIES
Ca 40.08 Ca.upf
Tb 158.93 Tb.upf
Nd 144.24 Nd.upf
Se 78.96 Se.upf
CELL_PARAMETERS angstrom
7.225 0.000 0.000
0.000 4.154 0.000
-2.377 0.000 6.910
ATOMIC_POSITIONS angstrom
Ca 0.000 0.000 0.000
Tb 3.612 2.077 0.000
Nd -1.189 2.077 3.455
Nd 2.424 0.000 3.455
Se 1.222 2.077 1.657
Se 0.025 0.000 5.264
Se 4.822 0.000 1.646
Se 3.625 2.077 5.253


(3)
! Ca3TbNd3Se8 (GGA-PBE, optimized geometry); values from VASP
! raw total energy = -5.447 eV/atom
! formation energy without anion corrections = -1.93 eV per atom
! magnetic moment = 0.0 μB per formula unit
&SYSTEM
  ibrav = 0, nat = 15, ntyp = 4
/
ATOMIC_SPECIES
Ca 40.08 Ca.upf
Tb 158.93 Tb.upf
Nd 144.24 Nd.upf
Se 78.96 Se.upf
CELL_PARAMETERS angstrom
4.194 2.422 6.912
-4.194 2.422 6.912
0.000 -4.843 6.912
ATOMIC_POSITIONS angstrom
Ca -2.097 -1.211 6.912
Ca -2.097 1.211 13.823
Ca 0.000 2.422 6.912
Tb 0.000 0.000 10.367
Nd -4.194 0.000 10.367
Nd -2.097 1.211 3.456
Nd 2.097 1.211 3.456
Se 0.000 0.000 5.223
Se 0.000 -2.364 8.668
Se -2.047 1.182 8.668
Se -2.047 -1.182 12.067
Se 2.047 1.182 8.668
Se 2.047 -1.182 12.067
Se 0.000 2.364 12.067
Se 0.000 0.000 15.512